A geometry-optimized Cs2SrTlI6 structure. Source: Alexandria, functional PBE.

Unit cell a=12.8328 b=12.8328 c=12.8328 alpha=90.00 beta=90.00 gamma=90.00
Last column: nearest neighbours and their distance in Å.
Space group Fm-3m (No. 225)
One atom of each set of equivalent atoms:
1 Cs 0.2500 0.2500 0.2500 (multiplicity 8)  12 I 4.54
2 Sr 0.0000 0.0000 0.0000 (multiplicity 4)  6 I 3.23
3 Tl 0.0000 0.0000 0.5000 (multiplicity 4)  6 I 3.18
4 I 0.0000 0.0000 0.2520 (multiplicity 24)  1 Tl 3.18, 1 Sr 3.23

Results
* E_tot: -107.95 eV/cell
* raw formation energy: -1.193 eV/atom
* ΔE to the lowest computed polymorph: 0.029 eV/atom

A geometry-optimized Ce3Ge2Pb structure. Source: Alexandria, functional PBE.

Unit cell a=4.0880 b=15.8465 c=4.7790 alpha=90.00 beta=90.00 gamma=90.00
Last column: nearest neighbours and their distance in Å.
Space group Cmmm (No. 65)
One atom of each set of equivalent atoms:
1 Ce 0.0000 0.0000 0.0000 (multiplicity 2)  4 Pb 3.14
2 Ce 0.0000 0.1690 0.5000 (multiplicity 4)  6 Ge 3.16-3.31, 2 Ce 3.28, 2 Pb 3.37
3 Ge 0.0000 0.3139 0.0000 (multiplicity 4)  2 Ge 2.88, 4 Ce 3.16
4 Pb 0.0000 0.5000 0.5000 (multiplicity 2)  8 Ce 3.14-3.37

Results
* E_tot: -67.03 eV/cell
* formation energy from the elements: -0.4617 eV/atom

A geometry-optimized ScCdPCl2 structure. Source: Alexandria, functional PBE.

Unit cell a=4.9095 b=4.9095 c=5.3863 alpha=90.00 beta=90.00 gamma=90.00
Last column: nearest neighbours and their distance in Å.
Space group P4/mmm (No. 123)
One atom of each set of equivalent atoms:
1 Sc 0.0000 0.0000 0.0000 (multiplicity 1)  4 P 3.47, 8 Cl 3.64
2 Cd 0.5000 0.5000 0.5000 (multiplicity 1)  4 Cl 2.45, 2 P 2.69
3 P 0.5000 0.5000 0.0000 (multiplicity 1)  2 Cd 2.69
4 Cl 0.0000 0.5000 0.5000 (multiplicity 2)  2 Cd 2.45

Results
* E_tot: -16.91 eV/cell
* raw formation energy: -0.112 eV/atom
* ΔE to the lowest computed polymorph: 0.706 eV/atom

A geometry-optimized Ca2TaTc structure. Source: Alexandria, functional PBE.

Unit cell a=8.3256 b=3.2567 c=7.8775 alpha=90.00 beta=94.75 gamma=90.00
Last column: nearest neighbours and their distance in Å.
Space group Cm (No. 8)
One atom of each set of equivalent atoms:
1 Ca 0.0000 0.0000 0.0000 (multiplicity 2)  3 Tc 2.99-3.11, 2 Ca 3.26, 2 Ta 3.28
2 Ca 0.2197 0.0000 0.6154 (multiplicity 2)  3 Ta 3.01-3.26, 2 Ca 3.26
3 Ta 0.4646 0.0000 0.3557 (multiplicity 2)  3 Tc 2.54-2.58
4 Tc 0.2410 0.5000 0.2414 (multiplicity 2)  3 Ta 2.54-2.58

Results
* E_tot: -49.04 eV/cell
* formation energy from the elements: 0.4253 eV/atom
* ΔE to the lowest computed polymorph: 0.266 eV/atom

no.,DOS(E_F) (states/eV/cell),size of the total moment (Bohr magnetons per cell)
1,48.438,0.00
2,34.665,5.31
3,2.366,0.16
4,9.264,0.00